<P>
Computed, not measured: a geometry-optimized CoPtW2 structure at the GGA-PBE level of DFT.

```
CoPtW2
1.0
2.729 0.019 0.000
-0.022 2.729 0.000
0.000 0.000 7.835
W Pt Co
2 1 1
Direct
0.500 0.500 0.276 W
0.000 0.000 0.993 W
0.500 0.500 0.737 Pt
0.000 0.000 0.494 Co
```

=====

<Q>
Computed, not measured: a geometry-optimized CoPtW2 structure at the GGA-PBE level of DFT.

```
CoPtW2
1.0
-2.659 0.400 3.976
-2.733 -2.297 3.209
3.179 -1.015 3.256
Co Pt W
1 1 2
Direct
0.750 0.750 0.750 Co
0.250 0.250 0.250 Pt
0.497 0.497 0.508 W
0.003 0.003 0.992 W
```

=====

<R>
Computed, not measured: a geometry-optimized CoPtW2 structure at the GGA-PBE level of DFT.

```
CoPtW2
1.0
-0.584 3.828 8.284
-3.180 4.260 7.440
-2.488 1.850 8.603
W Co Pt
2 1 1
Direct
0.243 0.243 0.243 W
0.002 0.002 0.002 W
0.501 0.501 0.501 Co
0.754 0.754 0.754 Pt
```

=====

<S>
Computed, not measured: a geometry-optimized CoPtW2 structure at the GGA-PBE level of DFT.

```
CoPtW2
1.0
3.808 0.000 0.000
0.000 3.808 0.000
0.000 0.000 3.992
Co W Pt
1 2 1
Direct
0.500 0.000 0.500 Co
0.000 0.000 0.000 W
0.500 0.500 0.000 W
0.000 0.500 0.500 Pt
```

=====

Least stable of them? <R>.

=====

<P>
Computed, not measured: a geometry-optimized CoPt3W structure at the GGA-PBE level of DFT.

```
CoPt3W
1.0
-3.807 1.312 -2.008
-2.088 0.040 3.985
1.179 4.303 0.575
Pt W Co
3 1 1
Direct
0.000 0.000 0.500 Pt
0.000 0.500 0.000 Pt
0.500 0.000 0.000 Pt
0.500 0.500 0.500 W
0.000 0.000 0.000 Co
```

=====

<Q>
Computed, not measured: a geometry-optimized CoPt3W structure at the GGA-PBE level of DFT.

```
CoPt3W
1.0
4.826 0.000 0.000
0.000 4.826 0.000
0.000 0.000 4.826
W Pt Co
1 3 1
Direct
0.000 0.000 0.000 W
0.000 0.500 0.000 Pt
0.000 0.000 0.500 Pt
0.500 0.000 0.000 Pt
0.500 0.500 0.500 Co
```

=====

Least stable of them? <Q>.

=====

<P>
Computed, not measured: a geometry-optimized YCo2Pt structure at the GGA-PBE level of DFT.

```
YCo2Pt
1.0
-0.074 1.105 3.948
-0.629 -2.822 2.907
4.533 -1.326 2.585
Co Pt Y
2 1 1
Direct
0.271 0.271 0.188 Co
0.944 0.944 0.168 Co
0.539 0.539 0.384 Pt
0.747 0.747 0.759 Y
```

=====

<Q>
Computed, not measured: a geometry-optimized YCo2Pt structure at the GGA-PBE level of DFT.

```
YCo2Pt
1.0
9.024 0.017 0.010
8.547 2.897 0.010
8.547 1.417 2.527
Pt Co Y
1 2 1
Direct
0.250 0.250 0.250 Pt
0.507 0.507 0.507 Co
0.993 0.993 0.993 Co
0.750 0.750 0.750 Y
```

=====

Least stable of them? <Q>.

=====

<P>
Computed, not measured: a geometry-optimized YCo2Pt structure at the GGA-PBE level of DFT.

```
YCo2Pt
1.0
3.060 0.000 0.000
0.000 3.396 0.000
0.000 0.000 6.309
Co Pt Y
2 1 1
Direct
0.500 0.500 0.216 Co
0.000 0.000 0.065 Co
0.000 0.000 0.467 Pt
0.500 0.500 0.752 Y
```

=====

<Q>
Computed, not measured: a geometry-optimized YCo2Pt structure at the GGA-PBE level of DFT.

```
YCo2Pt
1.0
4.103 -1.735 0.225
0.580 -4.408 -0.352
1.899 -1.715 -3.653
Co Pt Y
2 1 1
Direct
0.250 0.250 0.250 Co
0.750 0.750 0.750 Co
0.500 0.500 0.500 Pt
0.000 0.000 0.000 Y
```

=====

Least stable of them? <Q>.

=====

<P>
Computed, not measured: a geometry-optimized YCo2Pt structure at the GGA-PBE level of DFT.

```
YCo2Pt
1.0
4.532 0.000 0.000
2.266 3.925 0.000
2.266 1.308 3.701
Co Y Pt
2 1 1
Direct
0.250 0.250 0.250 Co
0.000 0.000 0.000 Co
0.750 0.750 0.750 Y
0.500 0.500 0.500 Pt
```

=====

<Q>
Computed, not measured: a geometry-optimized YCo2Pt structure at the GGA-PBE level of DFT.

```
YCo2Pt
1.0
4.893 0.000 -0.009
1.643 4.609 0.009
-3.263 -2.312 2.820
Co Y Pt
2 1 1
Direct
0.500 0.500 0.000 Co
0.000 0.000 0.000 Co
0.750 0.250 0.500 Y
0.250 0.750 0.500 Pt
```

=====

Least stable of them? <P>.

=====

<P>
Computed, not measured: a geometry-optimized YCo2Pt structure at the GGA-PBE level of DFT.

```
YCo2Pt
1.0
4.312 0.000 0.000
0.000 4.591 -0.204
0.000 0.170 3.771
Pt Co Y
1 2 1
Direct
0.500 0.250 0.250 Pt
0.000 0.985 0.250 Co
0.000 0.515 0.250 Co
0.500 0.750 0.750 Y
```

=====

<Q>
Computed, not measured: a geometry-optimized YCo2Pt structure at the GGA-PBE level of DFT.

```
YCo2Pt
1.0
5.007 -0.023 -0.069
-2.280 4.682 0.021
0.447 0.905 2.750
Y Pt Co
1 1 2
Direct
0.500 0.500 0.000 Y
0.000 0.500 0.500 Pt
0.500 0.000 0.500 Co
0.000 0.000 0.000 Co
```

=====

<R>
Computed, not measured: a geometry-optimized YCo2Pt structure at the GGA-PBE level of DFT.

```
YCo2Pt
1.0
4.204 -0.467 0.479
2.480 3.427 0.479
1.702 0.754 4.830
Co Y Pt
2 1 1
Direct
0.940 0.940 0.179 Co
0.560 0.560 0.321 Co
0.750 0.750 0.750 Y
0.250 0.250 0.250 Pt
```

=====

Least stable of them? <Q>.

=====

<P>
Computed, not measured: a geometry-optimized YCo2Pt structure at the GGA-PBE level of DFT.

```
YCo2Pt
1.0
3.341 -0.008 0.000
0.008 3.341 0.000
0.000 0.000 5.879
Pt Co Y
1 2 1
Direct
0.500 0.500 0.250 Pt
0.000 0.000 0.452 Co
0.000 0.000 0.048 Co
0.500 0.500 0.750 Y
```

=====

<Q>
Computed, not measured: a geometry-optimized YCo2Pt structure at the GGA-PBE level of DFT.

```
YCo2Pt
1.0
-3.488 1.328 -1.377
-0.717 -3.564 -1.621
-1.774 -1.172 3.363
Y Pt Co
1 1 2
Direct
0.000 0.500 0.500 Y
0.500 0.000 0.500 Pt
0.000 0.000 0.000 Co
0.500 0.500 0.000 Co
```

=====

<R>
Computed, not measured: a geometry-optimized YCo2Pt structure at the GGA-PBE level of DFT.

```
YCo2Pt
1.0
-3.823 2.056 2.415
-3.780 0.866 -3.104
2.772 -3.928 1.250
Co Pt Y
2 1 1
Direct
0.221 0.721 0.500 Co
0.024 0.024 0.000 Co
0.494 0.494 0.000 Pt
0.761 0.261 0.500 Y
```

=====

<S>
Computed, not measured: a geometry-optimized YCo2Pt structure at the GGA-PBE level of DFT.

```
YCo2Pt
1.0
-1.237 3.414 -1.748
-0.560 -1.590 -2.708
-5.025 -1.730 0.178
Y Pt Co
1 1 2
Direct
0.500 0.800 0.775 Y
0.000 0.463 0.449 Pt
0.000 0.171 0.033 Co
0.500 0.066 0.243 Co
```

=====

Least stable of them? <P>.

=====

<P>
Computed, not measured: a geometry-optimized Y4CoPt structure at the GGA-PBE level of DFT.

```
Y4CoPt
1.0
-5.490 -1.697 -2.434
3.378 -6.443 3.224
-1.330 5.738 5.351
Y Pt Co
8 2 2
Direct
0.281 0.769 0.650 Y
0.219 0.350 0.231 Y
0.600 0.307 0.947 Y
0.900 0.053 0.693 Y
0.400 0.693 0.053 Y
0.100 0.947 0.307 Y
0.719 0.231 0.350 Y
0.781 0.650 0.769 Y
0.750 0.637 0.363 Pt
0.250 0.363 0.637 Pt
0.250 0.003 0.997 Co
0.750 0.997 0.003 Co
```

=====

<Q>
Computed, not measured: a geometry-optimized Y4CoPt structure at the GGA-PBE level of DFT.

```
Y4CoPt
1.0
-4.692 2.427 2.774
-3.136 4.319 -2.667
-5.525 -1.103 -1.964
Y Pt Co
4 1 1
Direct
0.877 0.374 0.374 Y
0.374 0.374 0.877 Y
0.374 0.374 0.374 Y
0.374 0.877 0.374 Y
0.000 0.000 0.000 Pt
0.750 0.750 0.750 Co
```

=====

Least stable of them? <Q>.

=====

<P>
Computed, not measured: a geometry-optimized Y3CoPt structure at the GGA-PBE level of DFT.

```
Y3CoPt
1.0
-4.830 -2.473 4.111
1.133 -6.705 -2.702
6.130 0.443 7.468
Y Pt Co
12 4 4
Direct
0.182 0.639 0.734 Y
0.002 0.775 0.438 Y
0.012 0.228 0.931 Y
0.512 0.272 0.569 Y
0.498 0.275 0.938 Y
0.488 0.728 0.431 Y
0.502 0.725 0.062 Y
0.998 0.225 0.562 Y
0.682 0.861 0.766 Y
0.818 0.361 0.266 Y
0.318 0.139 0.234 Y
0.988 0.772 0.069 Y
0.282 0.001 0.679 Pt
0.718 0.999 0.321 Pt
0.218 0.501 0.179 Pt
0.782 0.499 0.821 Pt
0.200 0.450 0.441 Co
0.700 0.050 0.059 Co
0.300 0.950 0.941 Co
0.800 0.550 0.559 Co
```

=====

<Q>
Computed, not measured: a geometry-optimized Y3CoPt structure at the GGA-PBE level of DFT.

```
Y3CoPt
1.0
5.038 0.000 0.000
0.000 5.038 0.000
0.000 0.000 5.038
Y Co Pt
3 1 1
Direct
0.000 0.500 0.000 Y
0.500 0.000 0.000 Y
0.000 0.000 0.500 Y
0.000 0.000 0.000 Co
0.500 0.500 0.500 Pt
```

=====

Least stable of them? <Q>.

=====

<P>
Computed, not measured: a geometry-optimized ZrCo3Pt structure at the GGA-PBE level of DFT.

```
ZrCo3Pt
1.0
4.541 0.000 0.000
0.000 4.541 0.000
0.000 0.000 4.541
Co Pt Zr
3 1 1
Direct
0.000 0.500 0.000 Co
0.500 0.000 0.000 Co
0.000 0.000 0.500 Co
0.000 0.000 0.000 Pt
0.500 0.500 0.500 Zr
```

=====

<Q>
Computed, not measured: a geometry-optimized ZrCo3Pt structure at the GGA-PBE level of DFT.

```
ZrCo3Pt
1.0
-4.212 1.328 -0.445
-0.966 -3.776 -2.124
-1.014 -1.918 3.872
Co Zr Pt
3 1 1
Direct
0.500 0.000 0.000 Co
0.000 0.000 0.500 Co
0.000 0.500 0.000 Co
0.000 0.000 0.000 Zr
0.500 0.500 0.500 Pt
```

=====

Least stable of them? <Q>.

=====

<P>
Computed, not measured: a geometry-optimized ZrCo2Pt2 structure at the GGA-PBE level of DFT.

```
ZrCo2Pt2
1.0
-1.389 -1.948 -2.558
2.826 0.591 -1.984
3.582 -5.997 0.224
Pt Zr Co
2 1 2
Direct
0.396 0.396 0.208 Pt
0.604 0.604 0.792 Pt
0.000 0.000 0.000 Zr
0.250 0.750 0.500 Co
0.750 0.250 0.500 Co
```

=====

<Q>
Computed, not measured: a geometry-optimized ZrCo2Pt2 structure at the GGA-PBE level of DFT.

```
ZrCo2Pt2
1.0
6.620 0.000 0.000
0.000 6.620 0.000
0.000 0.000 3.420
Co Zr Pt
4 2 4
Direct
0.628 0.128 0.000 Co
0.372 0.872 0.000 Co
0.872 0.628 0.000 Co
0.128 0.372 0.000 Co
0.500 0.500 0.000 Zr
0.000 0.000 0.000 Zr
0.165 0.665 0.500 Pt
0.835 0.335 0.500 Pt
0.335 0.165 0.500 Pt
0.665 0.835 0.500 Pt
```

=====

Least stable of them? <Q>.